The following is a DFT calculation (PBE+U) of Pm2FeCuO6 after structural relaxation.

CIF file:
```
data_Pm2FeCuO6
_chemical_formula_sum 'Pm4 Fe2 Cu2 O12'
_cell_length_a 5.4166
_cell_length_b 5.6473
_cell_length_c 9.4260
_cell_angle_alpha 90.00
_cell_angle_beta 124.81
_cell_angle_gamma 90.00
_symmetry_space_group_name_H-M 'P 1 21/c 1'
_symmetry_Int_Tables_number 14
loop_
_symmetry_equiv_pos_as_xyz
'x,y,z'
'-x,-y,-z'
'-x,y+1/2,-z+1/2'
'x,-y+1/2,z+1/2'
loop_
_atom_site_label
_atom_site_fract_x
_atom_site_fract_y
_atom_site_fract_z
Pm1 0.2343 0.0614 0.2497
Fe1 0.5000 0.0000 0.0000
Cu1 0.0000 0.0000 0.5000
O1 0.1566 0.2012 0.9520
O2 0.2501 0.7057 0.9509
O3 0.3434 0.0259 0.7514
```

The value obtained for the total energy is -7.131 eV/atom.


The following is a DFT calculation (PBE+U) of PrFe4Cu3O12 after structural relaxation.

CIF file:
```
data_PrFe4Cu3O12
_chemical_formula_sum 'Pr2 Fe8 Cu6 O24'
_cell_length_a 7.5026
_cell_length_b 7.5026
_cell_length_c 7.5026
_cell_angle_alpha 90.00
_cell_angle_beta 90.00
_cell_angle_gamma 90.00
_symmetry_space_group_name_H-M 'I m -3'
_symmetry_Int_Tables_number 204
_symmetry_space_group_name_Hall '-I 2 2 3'
loop_
_atom_site_label
_atom_site_fract_x
_atom_site_fract_y
_atom_site_fract_z
Pr1 0.0000 0.0000 0.0000
Fe1 0.2500 0.2500 0.2500
Cu1 0.0000 0.0000 0.5000
O1 0.0000 0.1662 0.3110
```

The value obtained for the total energy is -6.292 eV/atom.


The following is a DFT calculation (PBE+U) of PuFe2CuO6 after structural relaxation.

CIF file:
```
data_PuFe2CuO6
_chemical_formula_sum 'Pu2 Fe4 Cu2 O12'
_cell_length_a 10.3521
_cell_length_b 5.5706
_cell_length_c 4.9988
_cell_angle_alpha 90.00
_cell_angle_beta 114.99
_cell_angle_gamma 90.00
_symmetry_space_group_name_H-M 'C 1 2/m 1'
_symmetry_Int_Tables_number 12
loop_
_symmetry_equiv_pos_as_xyz
'x,y,z'
'-x,-y,-z'
'-x,y,-z'
'x,-y,z'
'x+1/2,y+1/2,z'
'-x+1/2,-y+1/2,-z'
'-x+1/2,y+1/2,-z'
'x+1/2,-y+1/2,z'
loop_
_atom_site_label
_atom_site_fract_x
_atom_site_fract_y
_atom_site_fract_z
Pu1 0.0000 0.0000 0.0000
Fe1 0.2426 0.0000 0.6322
Cu1 0.0000 0.5000 0.5000
O1 0.0984 0.2654 0.3572
O2 0.1730 0.0000 0.9532
```

The value obtained for the total energy is -7.621 eV/atom.


The following is a DFT calculation (PBE+U) of Pu2FeCuO8 after structural relaxation.

CIF file:
```
data_Pu2FeCuO8
_chemical_formula_sum 'Pu4 Fe2 Cu2 O16'
_cell_length_a 6.5653
_cell_length_b 6.6143
_cell_length_c 6.8882
_cell_angle_alpha 90.00
_cell_angle_beta 90.00
_cell_angle_gamma 90.00
_symmetry_space_group_name_H-M 'C m m m'
_symmetry_Int_Tables_number 65
_symmetry_space_group_name_Hall '-C 2 2'
loop_
_atom_site_label
_atom_site_fract_x
_atom_site_fract_y
_atom_site_fract_z
Pu1 0.0000 0.0000 0.2491
Fe1 0.0000 0.5000 0.5000
Cu1 0.0000 0.5000 0.0000
O1 0.0000 0.2993 0.2642
O2 0.2005 0.0000 0.0000
O3 0.2029 0.0000 0.5000
```

The value obtained for the total energy is -8.515 eV/atom.


The following is a DFT calculation (PBE+U) of PuFeCu2O6 after structural relaxation.

CIF file:
```
data_PuFeCu2O6
_chemical_formula_sum 'Pu3 Fe3 Cu6 O18'
_cell_length_a 5.2011
_cell_length_b 5.2011
_cell_length_c 14.2741
_cell_angle_alpha 90.00
_cell_angle_beta 90.00
_cell_angle_gamma 120.00
_symmetry_space_group_name_H-M 'R 3'
_symmetry_Int_Tables_number 146
_symmetry_space_group_name_Hall 'R 3'
loop_
_atom_site_label
_atom_site_fract_x
_atom_site_fract_y
_atom_site_fract_z
Pu1 0.0000 0.0000 0.0000
Fe1 0.0000 0.0000 0.4959
Cu1 0.0000 0.0000 0.2799
Cu2 0.0000 0.0000 0.7949
O1 0.0334 0.3381 0.5706
O2 0.0364 0.6779 0.0780
```

The value obtained for the total energy is -7.099 eV/atom.


The following is a DFT calculation (PBE+U) of FeCuRhO4 after structural relaxation.

CIF file:
```
data_FeCuRhO4
_chemical_formula_sum 'Fe4 Cu4 Rh4 O16'
_cell_length_a 5.8399
_cell_length_b 6.1453
_cell_length_c 8.3537
_cell_angle_alpha 90.00
_cell_angle_beta 90.00
_cell_angle_gamma 90.00
_symmetry_space_group_name_H-M 'I m m a'
_symmetry_Int_Tables_number 74
_symmetry_space_group_name_Hall '-I 2b 2'
loop_
_atom_site_label
_atom_site_fract_x
_atom_site_fract_y
_atom_site_fract_z
Fe1 0.2500 0.2500 0.2500
Cu1 0.0000 0.2500 0.6363
Rh1 0.0000 0.0000 0.0000
O1 0.0000 0.0331 0.2438
O2 0.2289 0.2500 0.0126
```

The value obtained for the total energy is -5.995 eV/atom.


The following is a DFT calculation (PBE+U) of FeCuRu2O after structural relaxation.

CIF file:
```
data_FeCuRu2O
_chemical_formula_sum 'Fe1 Cu1 Ru2 O1'
_cell_length_a 4.5308
_cell_length_b 4.5308
_cell_length_c 4.3757
_cell_angle_alpha 90.00
_cell_angle_beta 90.00
_cell_angle_gamma 90.00
_symmetry_space_group_name_H-M 'P 4/m m m'
_symmetry_Int_Tables_number 123
_symmetry_space_group_name_Hall '-P 4 2'
loop_
_atom_site_label
_atom_site_fract_x
_atom_site_fract_y
_atom_site_fract_z
Fe1 0.0000 0.0000 0.0000
Cu1 0.0000 0.0000 0.5000
Ru1 0.0000 0.5000 0.0000
O1 0.5000 0.5000 0.5000
```

The value obtained for the total energy is -4.635 eV/atom.


The following is a DFT calculation (PBE+U) of FeCu2S2O8 after structural relaxation.

CIF file:
```
data_FeCu2S2O8
_chemical_formula_sum 'Fe2 Cu4 S4 O16'
_cell_length_a 7.1673
_cell_length_b 6.2846
_cell_length_c 10.0846
_cell_angle_alpha 90.00
_cell_angle_beta 128.38
_cell_angle_gamma 90.00
_symmetry_space_group_name_H-M 'P 1 21/c 1'
_symmetry_Int_Tables_number 14
loop_
_symmetry_equiv_pos_as_xyz
'x,y,z'
'-x,-y,-z'
'-x,y+1/2,-z+1/2'
'x,-y+1/2,z+1/2'
loop_
_atom_site_label
_atom_site_fract_x
_atom_site_fract_y
_atom_site_fract_z
Fe1 0.0000 0.0000 0.0000
Cu1 0.4879 0.2332 0.2889
S1 0.1574 0.1075 0.3639
O1 0.0293 0.6380 0.3276
O2 0.0574 0.2017 0.4467
O3 0.3472 0.5277 0.6814
O4 0.3777 0.2407 0.4242
```

The value obtained for the total energy is -5.635 eV/atom.


The following is a DFT calculation (PBE+U) of FeCuSO after structural relaxation.

CIF file:
```
data_FeCuSO
_chemical_formula_sum 'Fe2 Cu2 S2 O2'
_cell_length_a 3.6379
_cell_length_b 3.6379
_cell_length_c 8.2770
_cell_angle_alpha 90.00
_cell_angle_beta 90.00
_cell_angle_gamma 90.00
_symmetry_space_group_name_H-M 'P 4/n m m'
_symmetry_Int_Tables_number 129
loop_
_symmetry_equiv_pos_as_xyz
'x,y,z'
'-x,-y,-z'
'-y+1/2,x,z'
'y+1/2,-x,-z'
'-x+1/2,-y+1/2,z'
'x+1/2,y+1/2,-z'
'y,-x+1/2,z'
'-y,x+1/2,-z'
'x+1/2,-y,-z'
'-x+1/2,y,z'
'-y,-x,-z'
'y,x,z'
'-x,y+1/2,-z'
'x,-y+1/2,z'
'y+1/2,x+1/2,-z'
'-y+1/2,-x+1/2,z'
loop_
_atom_site_label
_atom_site_fract_x
_atom_site_fract_y
_atom_site_fract_z
Fe1 0.2500 0.2500 0.1098
Cu1 0.2500 0.7500 0.5000
S1 0.2500 0.2500 0.6846
O1 0.2500 0.7500 0.0000
```

The energy above the lowest structure with this stoichiometry is 80 meV/atom.


The following is a DFT calculation (PBE+U) of FeCuSO after structural relaxation.

CIF file:
```
data_FeCuSO
_chemical_formula_sum 'Fe2 Cu2 S2 O2'
_cell_length_a 3.2951
_cell_length_b 5.7728
_cell_length_c 6.6895
_cell_angle_alpha 75.33
_cell_angle_beta 76.04
_cell_angle_gamma 89.29
_symmetry_space_group_name_H-M 'P 1'
_symmetry_Int_Tables_number 1
loop_
_symmetry_equiv_pos_as_xyz
'x,y,z'
loop_
_atom_site_label
_atom_site_fract_x
_atom_site_fract_y
_atom_site_fract_z
Fe1 0.0000 0.0000 0.0000
Fe2 0.4997 0.4999 0.0004
Cu1 0.2179 0.7997 0.5731
Cu2 0.7816 0.1981 0.4275
S1 0.3796 0.7729 0.2548
S2 0.6206 0.2271 0.7452
O1 0.0711 0.7249 0.8684
O2 0.9288 0.2747 0.1320
```

The energy above the lowest structure with this stoichiometry is 0 meV/atom.


The following is a DFT calculation (PBE+U) of Sr3Fe2Cu2S2O5 after structural relaxation.

CIF file:
```
data_Sr3Fe2Cu2S2O5
_chemical_formula_sum 'Sr6 Fe4 Cu4 S4 O10'
_cell_length_a 3.9656
_cell_length_b 3.9656
_cell_length_c 26.5336
_cell_angle_alpha 90.00
_cell_angle_beta 90.00
_cell_angle_gamma 90.00
_symmetry_space_group_name_H-M 'I 4/m m m'
_symmetry_Int_Tables_number 139
_symmetry_space_group_name_Hall '-I 4 2'
loop_
_atom_site_label
_atom_site_fract_x
_atom_site_fract_y
_atom_site_fract_z
Sr1 0.0000 0.0000 0.0000
Sr2 0.0000 0.0000 0.1425
Fe1 0.0000 0.0000 0.4273
Cu1 0.0000 0.5000 0.2500
S1 0.0000 0.0000 0.3024
O1 0.0000 0.0000 0.5000
O2 0.0000 0.5000 0.0830
```

The value obtained for the total energy is -5.819 eV/atom.


The following is a DFT calculation (PBE+U) of Sr2FeCuSO3 after structural relaxation.

CIF file:
```
data_Sr2FeCuSO3
_chemical_formula_sum 'Sr4 Fe2 Cu2 S2 O6'
_cell_length_a 3.9503
_cell_length_b 3.9503
_cell_length_c 15.6709
_cell_angle_alpha 90.00
_cell_angle_beta 90.00
_cell_angle_gamma 90.00
_symmetry_space_group_name_H-M 'P 4/n m m'
_symmetry_Int_Tables_number 129
loop_
_symmetry_equiv_pos_as_xyz
'x,y,z'
'-x,-y,-z'
'-y+1/2,x,z'
'y+1/2,-x,-z'
'-x+1/2,-y+1/2,z'
'x+1/2,y+1/2,-z'
'y,-x+1/2,z'
'-y,x+1/2,-z'
'x+1/2,-y,-z'
'-x+1/2,y,z'
'-y,-x,-z'
'y,x,z'
'-x,y+1/2,-z'
'x,-y+1/2,z'
'y+1/2,x+1/2,-z'
'-y+1/2,-x+1/2,z'
loop_
_atom_site_label
_atom_site_fract_x
_atom_site_fract_y
_atom_site_fract_z
Sr1 0.2500 0.2500 0.0883
Sr2 0.2500 0.2500 0.3173
Fe1 0.2500 0.2500 0.8082
Cu1 0.2500 0.7500 0.5000
S1 0.2500 0.2500 0.5894
O1 0.2500 0.2500 0.9310
O2 0.2500 0.7500 0.2134
```

The value obtained for the total energy is -5.881 eV/atom.